# PaNi2RhO6 PBE with a Hubbard U optimized geometry
data_PaNi2RhO6
_chemical_formula_sum 'Pa1 Ni2 Rh1 O6'
_symmetry_space_group_name_H-M 'P 4 m m'
_symmetry_Int_Tables_number 99
_cell_length_a 5.9877
_cell_length_b 5.9877
_cell_length_c 4.0981
_cell_angle_alpha 90.00
_cell_angle_beta 90.00
_cell_angle_gamma 90.00
loop_
_symmetry_equiv_pos_as_xyz
'x,y,z'
'-y,x,z'
'-x,-y,z'
'y,-x,z'
'-x,y,z'
'y,x,z'
'x,-y,z'
'-y,-x,z'
loop_
_atom_site_label
_atom_site_type_symbol
_atom_site_fract_x
_atom_site_fract_y
_atom_site_fract_z
_atom_site_occupancy
Pa1 Pa 0.0000 0.0000 0.0000 1
Ni1 Ni 0.0000 0.5000 0.0784 1
Rh1 Rh 0.5000 0.5000 0.0234 1
O1 O 0.0000 0.0000 0.5047 1
O2 O 0.2590 0.2590 0.0327 1
O3 O 0.5000 0.5000 0.5293 1
# Mass density (g cm⁻³): 6.19
# Electronic total energy (hartree per atom): -0.241